Entry from the Alexandria database: crystalline ZrTaNiIr at its relaxed geometry (GGA-PBE).

abc: 6.423 6.423 6.423
angles: 90.00 90.00 90.00
Space group F-43m (No. 216)
One atom of each set of equivalent atoms:
Zr 0.000 0.000 0.000
Ta 0.000 0.000 0.500
Ni 0.250 0.250 0.250
Ir 0.250 0.250 0.750

Calculated values
- magnetic moment (μB per formula unit) = 0.0
- calculated total energy (eV per cell) = -146.364
- formation enthalpy at 0 K (eV per atom) = -0.3870